No. 1
An optimized crystal structure of Ce2Lu. Source: Alexandria, functional PBE.

Calculated values
DFT formation energy	0.22	eV/atom
calculated density	8.70	g/cm3
DOS(E_F)	18.60	states/eV per cell

a = 6.263 Å, b = 6.263 Å, c = 6.263 Å
α = 60.00°, β = 60.00°, γ = 60.00°
Each line ends with the local moment (μB).
Fractional coordinates of all 6 atoms:
Lu (0.000, 0.000, 0.000)  -0.05
Lu (0.250, 0.250, 0.250)  -0.05
Ce (0.125, 0.625, 0.625)  -0.68
Ce (0.625, 0.125, 0.625)  -0.68
Ce (0.625, 0.625, 0.625)  -0.68
Ce (0.625, 0.625, 0.125)  -0.68

***

No. 2
An optimized crystal structure of CeLu3. Source: Alexandria, functional PBE.

Calculated values
DFT formation energy	0.08	eV/atom
calculated density	9.29	g/cm3
DOS(E_F)	8.55	states/eV per cell

a = 4.955 Å, b = 4.955 Å, c = 5.976 Å
α = 114.49°, β = 114.49°, γ = 90.00°
Each line ends with the local moment (μB).
Fractional coordinates of all 4 atoms:
Lu (0.750, 0.250, 0.500)  0.04
Lu (0.250, 0.750, 0.500)  0.04
Lu (0.500, 0.500, 0.000)  0.02
Ce (0.000, 0.000, 0.000)  0.59